[1]
CuTc2F (GGA-PBE, relaxed); energy above the most stable polymorph in this dataset = 0.000 eV/atom; size of the total moment = 0.0 μB per formula unit; DOS(E_F) = 8.18 states/eV/cell; theoretical density = 8.09 Mg/m³; crystal system = tetragonal; uncorrected formation energy = 424 meV per atom
1.0
-3.1894 0.6673 1.2402
0.9856 -1.1355 3.1456
1.6119 8.4746 4.4864
Tc Cu F
4 2 2
Direct
0.6269 0.1250 0.2500 Tc
0.1231 0.6250 0.2500 Tc
0.3750 0.3731 0.7500 Tc
0.8750 0.8769 0.7500 Tc
0.0000 0.0000 0.0000 Cu
0.7500 0.2500 0.5000 Cu
0.5000 0.5000 0.0000 F
0.2500 0.7500 0.5000 F



[2]
Pr3NdIr2 (GGA-PBE, relaxed); energy above the most stable polymorph in this dataset = 0.000 eV/atom; size of the total moment = 0.0 μB per formula unit; formation energy = -0.50 eV/atom; DOS(E_F) = 10.69 states/eV/cell; theoretical density = 8.40 Mg/m³; crystal system = monoclinic
1.0
-1.2287 -0.9170 -4.1243
-4.8026 -7.2546 0.6966
-10.4603 2.6918 0.1707
Pr Nd Ir
6 2 4
Direct
0.0547 0.1142 0.7765 Pr
0.9453 0.8858 0.2235 Pr
0.6707 0.6913 0.9672 Pr
0.3293 0.3087 0.0328 Pr
0.7877 0.8319 0.5927 Pr
0.2123 0.1681 0.4073 Pr
0.4244 0.4819 0.6693 Nd
0.5756 0.5181 0.3307 Nd
0.8654 0.4206 0.8486 Ir
0.1346 0.5794 0.1514 Ir
0.6178 0.1829 0.5815 Ir
0.3822 0.8171 0.4185 Ir



[3]
Ce2Si3Au2 (GGA-PBE, relaxed); size of the total moment = 1.5 μB per formula unit; DOS(E_F) = 22.29 states/eV/cell; theoretical density = 8.89 Mg/m³; crystal system = orthorhombic; uncorrected formation energy = -639 meV per atom
1.0
4.2760 0.0000 -1.0194
0.0000 6.9870 0.0000
0.0002 0.0000 9.4785
Ce Si Au
4 6 4
Direct
0.1532 0.2500 0.3064 Ce
0.8468 0.7500 0.6936 Ce
0.9490 0.2500 0.8979 Ce
0.0510 0.7500 0.1021 Ce
0.2227 0.7500 0.4453 Si
0.7773 0.2500 0.5547 Si
0.5555 0.4209 0.1111 Si
0.4445 0.5791 0.8889 Si
0.4445 0.9209 0.8889 Si
0.5555 0.0791 0.1111 Si
0.6835 0.9497 0.3670 Au
0.3165 0.0503 0.6330 Au
0.3165 0.4497 0.6330 Au
0.6835 0.5503 0.3670 Au



[4]
CaLa2Pr5Sm (GGA-PBE, relaxed); size of the total moment = 0.0 μB per formula unit; formation energy = 0.24 eV/atom; DOS(E_F) = 26.38 states/eV/cell; theoretical density = 5.89 Mg/m³; crystal system = tetragonal
1.0
-7.0881 -4.0691 3.3238
4.9468 -3.2876 6.5244
-0.6347 10.5222 -0.1825
Ca La Pr Sm
2 4 10 2
Direct
0.2500 0.7500 0.5000 Ca
0.7500 0.2500 0.5000 Ca
0.1202 0.3798 0.0000 La
0.6202 0.1202 0.0000 La
0.3798 0.8798 0.0000 La
0.8798 0.6202 0.0000 La
0.9189 0.4189 0.2817 Pr
0.6372 0.1372 0.7183 Pr
0.0811 0.5811 0.7183 Pr
0.1372 0.0811 0.7183 Pr
0.5811 0.6372 0.7183 Pr
0.8628 0.9189 0.2817 Pr
0.4189 0.3628 0.2817 Pr
0.3628 0.8628 0.2817 Pr
0.5000 0.5000 0.0000 Pr
0.0000 0.0000 0.0000 Pr
0.2500 0.2500 0.5000 Sm
0.7500 0.7500 0.5000 Sm



Please write out number 4 again, unchanged.
CaLa2Pr5Sm (GGA-PBE, relaxed); size of the total moment = 0.0 μB per formula unit; formation energy = 0.24 eV/atom; DOS(E_F) = 26.38 states/eV/cell; theoretical density = 5.89 Mg/m³; crystal system = tetragonal
1.0
-7.0881 -4.0691 3.3238
4.9468 -3.2876 6.5244
-0.6347 10.5222 -0.1825
Ca La Pr Sm
2 4 10 2
Direct
0.2500 0.7500 0.5000 Ca
0.7500 0.2500 0.5000 Ca
0.1202 0.3798 0.0000 La
0.6202 0.1202 0.0000 La
0.3798 0.8798 0.0000 La
0.8798 0.6202 0.0000 La
0.9189 0.4189 0.2817 Pr
0.6372 0.1372 0.7183 Pr
0.0811 0.5811 0.7183 Pr
0.1372 0.0811 0.7183 Pr
0.5811 0.6372 0.7183 Pr
0.8628 0.9189 0.2817 Pr
0.4189 0.3628 0.2817 Pr
0.3628 0.8628 0.2817 Pr
0.5000 0.5000 0.0000 Pr
0.0000 0.0000 0.0000 Pr
0.2500 0.2500 0.5000 Sm
0.7500 0.7500 0.5000 Sm



Please write out number 4 again, unchanged.
CaLa2Pr5Sm (GGA-PBE, relaxed); size of the total moment = 0.0 μB per formula unit; formation energy = 0.24 eV/atom; DOS(E_F) = 26.38 states/eV/cell; theoretical density = 5.89 Mg/m³; crystal system = tetragonal
1.0
-7.0881 -4.0691 3.3238
4.9468 -3.2876 6.5244
-0.6347 10.5222 -0.1825
Ca La Pr Sm
2 4 10 2
Direct
0.2500 0.7500 0.5000 Ca
0.7500 0.2500 0.5000 Ca
0.1202 0.3798 0.0000 La
0.6202 0.1202 0.0000 La
0.3798 0.8798 0.0000 La
0.8798 0.6202 0.0000 La
0.9189 0.4189 0.2817 Pr
0.6372 0.1372 0.7183 Pr
0.0811 0.5811 0.7183 Pr
0.1372 0.0811 0.7183 Pr
0.5811 0.6372 0.7183 Pr
0.8628 0.9189 0.2817 Pr
0.4189 0.3628 0.2817 Pr
0.3628 0.8628 0.2817 Pr
0.5000 0.5000 0.0000 Pr
0.0000 0.0000 0.0000 Pr
0.2500 0.2500 0.5000 Sm
0.7500 0.7500 0.5000 Sm